(1)
VASP calculation (SCAN) on a crystal of MnAlV2 relaxed with PBEsol.

The value obtained for the energy of formation is -285 meV/atom.

It has space group F-43m (No. 216), with a = 5.865 Å, b = 5.865 Å, c = 5.865 Å, α = 90.00°, β = 90.00° and γ = 90.00°. The distinct sites, in fractional coordinates, are Mn at (0.000, 0.000, 0.000), Al at (0.250, 0.250, 0.250), V at (0.000, 0.000, 0.500) and V at (0.250, 0.250, 0.750).

=====

(2)
VASP calculation (SCAN) on a crystal of Co3Ir relaxed with PBEsol.

The value obtained for the energy of formation is 69 meV/atom.

It has space group P-6m2 (No. 187), with a = 2.5803 Å, b = 2.5803 Å, c = 8.0374 Å, α = 90.00°, β = 90.00° and γ = 120.00°. The distinct sites, in fractional coordinates, are Co at (0.0000, 0.0000, 0.0000), Co at (0.3333, 0.6667, 0.2381) and Ir at (0.0000, 0.0000, 0.5000).

=====

(3)
VASP calculation (SCAN) on a crystal of Cs2YPb2 relaxed with PBEsol.

The value obtained for the energy of formation is 333 meV/atom.

It has space group I4/mmm (No. 139), with a = 4.282 Å, b = 4.282 Å, c = 27.065 Å, α = 90.00°, β = 90.00° and γ = 90.00°. The distinct sites, in fractional coordinates, are Cs at (0.000, 0.000, 0.122), Y at (0.000, 0.000, 0.500) and Pb at (0.000, 0.500, 0.250).

=====

(4)
VASP calculation (SCAN) on a crystal of Hg2RuPb relaxed with PBEsol.

The value obtained for the energy of formation is 511 meV/atom.

It has space group R-3m (No. 166, hexagonal axes), with a = 3.1550 Å, b = 3.1550 Å, c = 29.2419 Å, α = 90.00°, β = 90.00° and γ = 120.00°. The distinct sites, in fractional coordinates, are Hg at (0.0000, 0.0000, 0.2386), Ru at (0.0000, 0.0000, 0.5000) and Pb at (0.0000, 0.0000, 0.0000).

=====

(5)
VASP calculation (SCAN) on a crystal of Zr2NiSe relaxed with PBEsol.

It has space group C2/m (No. 12), with a = 5.929 Å, b = 7.159 Å, c = 3.200 Å, α = 90.00°, β = 91.18° and γ = 90.00°. The distinct sites, in fractional coordinates, are Zr at (0.250, 0.250, 0.000), Ni at (0.000, 0.000, 0.500) and Se at (0.000, 0.500, 0.500).

=====

(6)
VASP calculation (SCAN) on a crystal of Mg2AlAu relaxed with PBEsol.

The value obtained for the energy of formation is -386 meV/atom.

It has space group Pmmm (No. 47), with a = 3.235 Å, b = 3.622 Å, c = 6.125 Å, α = 90.00°, β = 90.00° and γ = 90.00°. The distinct sites, in fractional coordinates, are Mg at (0.000, 0.000, 0.238), Al at (0.500, 0.500, 0.500) and Au at (0.500, 0.500, 0.000).

=====

(7)
VASP calculation (SCAN) on a crystal of Ca3TlN relaxed with PBEsol.

It has space group Pm-3m (No. 221), with a = 4.881 Å, b = 4.881 Å, c = 4.881 Å, α = 90.00°, β = 90.00° and γ = 90.00°. The distinct sites, in fractional coordinates, are Ca at (0.000, 0.000, 0.500), Tl at (0.500, 0.500, 0.500) and N at (0.000, 0.000, 0.000).

=====

(8)
VASP calculation (SCAN) on a crystal of Mo3Pt relaxed with PBEsol.

The value obtained for the energy of formation is -148 meV/atom. The energy above the most stable polymorph in this dataset comes out at 19.9 meV per atom.

It has space group Pm-3m (No. 221), with a = 3.920 Å, b = 3.920 Å, c = 3.920 Å, α = 90.00°, β = 90.00° and γ = 90.00°. The distinct sites, in fractional coordinates, are Mo at (0.000, 0.000, 0.500) and Pt at (0.500, 0.500, 0.500).

=====

Per-record uncorrected energy, eV/atom: -15.531; -30.684; -50.672; -61.223; -25.039; -22.100; -22.953; -43.860
Per-record density of states at the Fermi level, states/eV/cell: 18.64; 3.78; 11.27; 5.29; 4.95; 1.22; 3.14; 3.43